# PBE Mg4Ge2IrPt, optimized geometry
data_Mg4Ge2IrPt
_symmetry_space_group_name_H-M 'P 1'
_symmetry_Int_Tables_number 1
_cell_length_a 4.364
_cell_length_b 4.364
_cell_length_c 8.620
_cell_angle_alpha 90.00
_cell_angle_beta 90.00
_cell_angle_gamma 120.00
loop_
_symmetry_equiv_pos_as_xyz
'x,y,z'
loop_
_atom_site_label
_atom_site_type_symbol
_atom_site_fract_x
_atom_site_fract_y
_atom_site_fract_z
Mg1 Mg 0.000 0.000 0.165
Mg2 Mg 0.000 0.000 0.835
Mg3 Mg 0.667 0.333 0.329
Mg4 Mg 0.667 0.333 0.671
Ge1 Ge 0.333 0.667 0.000
Ge2 Ge 0.333 0.667 0.500
Ir1 Ir 0.667 0.333 0.000
Pt1 Pt 0.000 0.000 0.500
# ρ in Mg/m³: 7.36
# E in Ry/atom: -0.319
# Space-group type: P-6m2 (187)

***

# PBE CsPuPa, optimized geometry
data_CsPuPa
_symmetry_space_group_name_H-M 'P 1'
_symmetry_Int_Tables_number 1
_cell_length_a 7.309
_cell_length_b 7.309
_cell_length_c 7.309
_cell_angle_alpha 90.00
_cell_angle_beta 90.00
_cell_angle_gamma 90.00
loop_
_symmetry_equiv_pos_as_xyz
'x,y,z'
loop_
_atom_site_label
_atom_site_type_symbol
_atom_site_fract_x
_atom_site_fract_y
_atom_site_fract_z
Cs1 Cs 0.000 0.000 0.000
Cs2 Cs 0.000 0.500 0.500
Cs3 Cs 0.500 0.000 0.500
Cs4 Cs 0.500 0.500 0.000
Pu1 Pu 0.250 0.250 0.250
Pu2 Pu 0.250 0.750 0.750
Pu3 Pu 0.750 0.250 0.750
Pu4 Pu 0.750 0.750 0.250
Pa1 Pa 0.000 0.000 0.500
Pa2 Pa 0.000 0.500 0.000
Pa3 Pa 0.500 0.000 0.000
Pa4 Pa 0.500 0.500 0.500
# ρ in Mg/m³: 10.34
# Distance to the lowest polymorph of the same formula in kcal/mol of atoms: 0.00
# Space-group type: F-43m (216)

***

# PBE LaPrBr3N, optimized geometry
data_LaPrBr3N
_symmetry_space_group_name_H-M 'P 1'
_symmetry_Int_Tables_number 1
_cell_length_a 9.208
_cell_length_b 9.208
_cell_length_c 11.676
_cell_angle_alpha 120.93
_cell_angle_beta 120.93
_cell_angle_gamma 25.83
loop_
_symmetry_equiv_pos_as_xyz
'x,y,z'
loop_
_atom_site_label
_atom_site_type_symbol
_atom_site_fract_x
_atom_site_fract_y
_atom_site_fract_z
La1 La 0.135 0.135 0.287
La2 La 0.865 0.865 0.713
Pr1 Pr 0.419 0.419 0.043
Pr2 Pr 0.581 0.581 0.957
Br1 Br 0.046 0.046 0.746
Br2 Br 0.222 0.222 0.117
Br3 Br 0.336 0.336 0.489
Br4 Br 0.664 0.664 0.511
Br5 Br 0.778 0.778 0.883
Br6 Br 0.954 0.954 0.254
N1 N 0.427 0.427 0.847
N2 N 0.573 0.573 0.153
# ρ in Mg/m³: 4.84
# Distance to the lowest polymorph of the same formula in kcal/mol of atoms: 0.00
# Space-group type: C2/m (12)

***

# PBE Dy2Ga2CuAg, optimized geometry
data_Dy2Ga2CuAg
_symmetry_space_group_name_H-M 'P 1'
_symmetry_Int_Tables_number 1
_cell_length_a 4.479
_cell_length_b 4.479
_cell_length_c 7.039
_cell_angle_alpha 90.00
_cell_angle_beta 90.00
_cell_angle_gamma 120.00
loop_
_symmetry_equiv_pos_as_xyz
'x,y,z'
loop_
_atom_site_label
_atom_site_type_symbol
_atom_site_fract_x
_atom_site_fract_y
_atom_site_fract_z
Dy1 Dy 0.000 0.000 0.000
Dy2 Dy 0.000 0.000 0.485
Ga1 Ga 0.333 0.667 0.259
Ga2 Ga 0.333 0.667 0.721
Cu1 Cu 0.667 0.333 0.236
Ag1 Ag 0.667 0.333 0.751
# ρ in Mg/m³: 8.63
# E in Ry/atom: -0.303
# Space-group type: P3m1 (156)

***

# PBE HfTePO, optimized geometry
data_HfTePO
_symmetry_space_group_name_H-M 'P 1'
_symmetry_Int_Tables_number 1
_cell_length_a 3.839
_cell_length_b 3.839
_cell_length_c 10.132
_cell_angle_alpha 90.00
_cell_angle_beta 90.00
_cell_angle_gamma 90.00
loop_
_symmetry_equiv_pos_as_xyz
'x,y,z'
loop_
_atom_site_label
_atom_site_type_symbol
_atom_site_fract_x
_atom_site_fract_y
_atom_site_fract_z
Hf1 Hf 0.250 0.250 0.108
Hf2 Hf 0.750 0.750 0.892
Te1 Te 0.250 0.750 0.500
Te2 Te 0.750 0.250 0.500
P1 P 0.250 0.250 0.766
P2 P 0.750 0.750 0.234
O1 O 0.250 0.750 0.000
O2 O 0.750 0.250 0.000
# ρ in Mg/m³: 7.85
# Distance to the lowest polymorph of the same formula in kcal/mol of atoms: 7.85
# Space-group type: P4/nmm (129)

***

# PBE Tb3CdO, optimized geometry
data_Tb3CdO
_symmetry_space_group_name_H-M 'P 1'
_symmetry_Int_Tables_number 1
_cell_length_a 4.795
_cell_length_b 4.795
_cell_length_c 4.795
_cell_angle_alpha 90.00
_cell_angle_beta 90.00
_cell_angle_gamma 90.00
loop_
_symmetry_equiv_pos_as_xyz
'x,y,z'
loop_
_atom_site_label
_atom_site_type_symbol
_atom_site_fract_x
_atom_site_fract_y
_atom_site_fract_z
Tb1 Tb 0.000 0.000 0.500
Tb2 Tb 0.000 0.500 0.000
Tb3 Tb 0.500 0.000 0.000
Cd1 Cd 0.500 0.500 0.500
O1 O 0.000 0.000 0.000
# ρ in Mg/m³: 9.11
# E in Ry/atom: -0.388
# Space-group type: Pm-3m (221)